# 1
The following is a DFT calculation (PBE) of crystalline ScUAlMo at its relaxed geometry.

V in Å³/atom: 18.5
Spin magnetization in μB/atom: 0.2607
Formation enthalpy at 0 K in eV/f.u.: 0.4

Lattice parameters (Å, degrees): 6.6623 6.6623 6.6623 90.00 90.00 90.00
Closest atoms and distances in Å follow each position.
Space group F-43m (No. 216)
Symmetry-distinct sites (fractional):
Sc 0.0000 0.0000 0.0000 x4  4 Al 2.88, 4 U 2.88
U 0.2500 0.2500 0.7500 x4  4 Mo 2.88, 4 Sc 2.88
Al 0.2500 0.2500 0.2500 x4  4 Mo 2.88, 4 Sc 2.88
Mo 0.0000 0.0000 0.5000 x4  4 U 2.88, 4 Al 2.88

---

# 2
The following is a DFT calculation (PBE) of crystalline AcTmZnHg at its relaxed geometry.

V in Å³/atom: 28.0
Spin magnetization in μB/atom: 0.0014
Formation enthalpy at 0 K in eV/f.u.: -1.2

Lattice parameters (Å, degrees): 7.6490 7.6490 7.6490 90.00 90.00 90.00
Closest atoms and distances in Å follow each position.
Space group F-43m (No. 216)
Symmetry-distinct sites (fractional):
Ac 0.0000 0.0000 0.0000 x4  4 Zn 3.31, 4 Hg 3.31
Tm 0.0000 0.0000 0.5000 x4  4 Hg 3.31, 4 Zn 3.31
Zn 0.2500 0.2500 0.7500 x4  4 Ac 3.31, 4 Tm 3.31
Hg 0.2500 0.2500 0.2500 x4  4 Ac 3.31, 4 Tm 3.31

---

# 3
The following is a DFT calculation (PBE) of crystalline CePr12Ho7 at its relaxed geometry.

V in Å³/atom: 34.8
Spin magnetization in μB/atom: 0.0233
Formation enthalpy at 0 K in eV/f.u.: 3.0

Lattice parameters (Å, degrees): 15.4965 15.4965 10.0284 90.00 90.00 120.00
Closest atoms and distances in Å follow each position.
Space group R-3 (No. 148, hexagonal axes)
Symmetry-distinct sites (fractional):
Ce 0.0000 0.0000 0.0000 x3  6 Ho 3.47, 6 Pr 3.57
Pr 0.0131 0.7653 0.4081 x18  4 Ho 3.40-3.74, 1 Pr 3.46
Pr 0.0762 0.4877 0.6212 x18  3 Ho 3.35-3.65, 4 Pr 3.46-3.65, 1 Ce 3.57
Ho 0.0000 0.0000 0.5000 x3  6 Ho 3.21
Ho 0.0051 0.1445 0.2669 x18  1 Ho 3.21, 3 Pr 3.35-3.49, 1 Ce 3.47

---

Q: What is the formation enthalpy at 0 K in the third record?
A: 3.0 eV/f.u.